No. 1
DFT (PBE) results for a geometry-optimized Ce5PuAlSi2 structure.

Computed properties:
Crystal system: tetragonal
Uncorrected formation energy (eV/atom): -0.34
Calculated volume (A^3/atom): 24.31
Total magnetic moment (Bohr magnetons per cell): 17.03
Symmetry: I4/mcm
Calculated total energy (hartree per atom): -0.2516

a b c (Å): 9.496 9.496 9.496
angles (deg): 133.87 133.87 67.29
Atoms (fractional coordinates):
Ce (0.000, 0.000, 0.000)
Ce (0.051, 0.551, 0.868)
Ce (0.183, 0.051, 0.500)
Ce (0.317, 0.817, 0.868)
Ce (0.449, 0.317, 0.500)
Ce (0.500, 0.500, 0.000)
Ce (0.551, 0.683, 0.500)
Ce (0.683, 0.183, 0.132)
Ce (0.817, 0.949, 0.500)
Ce (0.949, 0.449, 0.132)
Pu (0.250, 0.750, 0.500)
Pu (0.750, 0.250, 0.500)
Al (0.250, 0.250, 0.000)
Al (0.750, 0.750, 0.000)
Si (0.115, 0.385, 0.500)
Si (0.385, 0.885, 0.271)
Si (0.615, 0.115, 0.729)
Si (0.885, 0.615, 0.500)



No. 2
DFT (PBE) results for a geometry-optimized Ce2PuAl2Si2 structure.

Computed properties:
Crystal system: trigonal
Uncorrected formation energy (eV/atom): -0.34
Calculated volume (A^3/atom): 20.33
Total magnetic moment (Bohr magnetons per cell): 6.99
Symmetry: R-3m
Calculated total energy (hartree per atom): -0.2464

a b c (Å): 9.029 9.029 9.029
angles (deg): 27.90 27.90 27.90
Atoms (fractional coordinates):
Ce (0.137, 0.137, 0.137)
Ce (0.863, 0.863, 0.863)
Pu (0.000, 0.000, 0.000)
Al (0.401, 0.401, 0.401)
Al (0.599, 0.599, 0.599)
Si (0.268, 0.268, 0.268)
Si (0.732, 0.732, 0.732)



No. 3
DFT (PBE) results for a geometry-optimized CePu2Al2Si2 structure.

Computed properties:
Crystal system: trigonal
Uncorrected formation energy (eV/atom): -0.22
Calculated volume (A^3/atom): 18.52
Total magnetic moment (Bohr magnetons per cell): 0.00
Symmetry: R-3m
Calculated total energy (hartree per atom): -0.2859

a b c (Å): 9.324 9.324 9.324
angles (deg): 25.24 25.24 25.24
Atoms (fractional coordinates):
Ce (0.000, 0.000, 0.000)
Pu (0.151, 0.151, 0.151)
Pu (0.849, 0.849, 0.849)
Al (0.413, 0.413, 0.413)
Al (0.587, 0.587, 0.587)
Si (0.260, 0.260, 0.260)
Si (0.740, 0.740, 0.740)



No. 4
DFT (PBE) results for a geometry-optimized CeSmPuAl structure.

Computed properties:
Crystal system: cubic
Energy of formation (meV/atom): 2
Calculated volume (A^3/atom): 25.46
Total magnetic moment (Bohr magnetons per cell): 32.45
Symmetry: F-43m
Calculated total energy (hartree per atom): -0.2639

a b c (Å): 7.413 7.413 7.413
angles (deg): 90.00 90.00 90.00
Atoms (fractional coordinates):
Ce (0.000, 0.000, 0.000)
Ce (0.000, 0.500, 0.500)
Ce (0.500, 0.000, 0.500)
Ce (0.500, 0.500, 0.000)
Sm (0.250, 0.250, 0.750)
Sm (0.250, 0.750, 0.250)
Sm (0.750, 0.250, 0.250)
Sm (0.750, 0.750, 0.750)
Pu (0.250, 0.250, 0.250)
Pu (0.250, 0.750, 0.750)
Pu (0.750, 0.250, 0.750)
Pu (0.750, 0.750, 0.250)
Al (0.000, 0.000, 0.500)
Al (0.000, 0.500, 0.000)
Al (0.500, 0.000, 0.000)
Al (0.500, 0.500, 0.500)



No. 5
DFT (PBE) results for a geometry-optimized CePuAlSn structure.

Computed properties:
Crystal system: cubic
ΔE to the lowest computed polymorph (meV/atom): 62.9
Energy of formation (meV/atom): -259
Calculated volume (A^3/atom): 25.93
Total magnetic moment (Bohr magnetons per cell): 20.71
Symmetry: F-43m
Calculated total energy (hartree per atom): -0.2669

a b c (Å): 7.458 7.458 7.458
angles (deg): 90.00 90.00 90.00
Atoms (fractional coordinates):
Ce (0.000, 0.000, 0.000)
Ce (0.000, 0.500, 0.500)
Ce (0.500, 0.000, 0.500)
Ce (0.500, 0.500, 0.000)
Pu (0.000, 0.000, 0.500)
Pu (0.000, 0.500, 0.000)
Pu (0.500, 0.000, 0.000)
Pu (0.500, 0.500, 0.500)
Al (0.250, 0.250, 0.250)
Al (0.250, 0.750, 0.750)
Al (0.750, 0.250, 0.750)
Al (0.750, 0.750, 0.250)
Sn (0.250, 0.250, 0.750)
Sn (0.250, 0.750, 0.250)
Sn (0.750, 0.250, 0.250)
Sn (0.750, 0.750, 0.750)



No. 6
DFT (PBE) results for a geometry-optimized CePuAlSn structure.

Computed properties:
Crystal system: tetragonal
ΔE to the lowest computed polymorph (meV/atom): 0.0
Energy of formation (meV/atom): -322
Calculated volume (A^3/atom): 24.44
Total magnetic moment (Bohr magnetons per cell): 13.04
Symmetry: I-4m2
Calculated total energy (hartree per atom): -0.2692

a b c (Å): 4.496 4.496 9.674
angles (deg): 90.00 90.00 90.00
Atoms (fractional coordinates):
Ce (0.000, 0.000, 0.000)
Ce (0.500, 0.500, 0.500)
Pu (0.000, 0.500, 0.250)
Pu (0.500, 0.000, 0.750)
Al (0.000, 0.500, 0.750)
Al (0.500, 0.000, 0.250)
Sn (0.000, 0.000, 0.500)
Sn (0.500, 0.500, 0.000)



No. 7
DFT (PBE) results for a geometry-optimized TbCePuAl structure.

Computed properties:
Crystal system: cubic
Energy of formation (meV/atom): -11
Calculated volume (A^3/atom): 24.99
Total magnetic moment (Bohr magnetons per cell): 32.32
Symmetry: F-43m
Calculated total energy (hartree per atom): -0.2635

a b c (Å): 7.367 7.367 7.367
angles (deg): 90.00 90.00 90.00
Atoms (fractional coordinates):
Tb (0.000, 0.000, 0.000)
Tb (0.000, 0.500, 0.500)
Tb (0.500, 0.000, 0.500)
Tb (0.500, 0.500, 0.000)
Ce (0.250, 0.250, 0.250)
Ce (0.250, 0.750, 0.750)
Ce (0.750, 0.250, 0.750)
Ce (0.750, 0.750, 0.250)
Pu (0.000, 0.000, 0.500)
Pu (0.000, 0.500, 0.000)
Pu (0.500, 0.000, 0.000)
Pu (0.500, 0.500, 0.500)
Al (0.250, 0.250, 0.750)
Al (0.250, 0.750, 0.250)
Al (0.750, 0.250, 0.250)
Al (0.750, 0.750, 0.750)



No. 8
DFT (PBE) results for a geometry-optimized CePuAlTc structure.

Computed properties:
Crystal system: cubic
Energy of formation (meV/atom): -125
Calculated volume (A^3/atom): 19.51
Total magnetic moment (Bohr magnetons per cell): 18.82
Symmetry: F-43m
Calculated total energy (hartree per atom): -0.3204

a b c (Å): 6.783 6.783 6.783
angles (deg): 90.00 90.00 90.00
Atoms (fractional coordinates):
Ce (0.000, 0.000, 0.000)
Ce (0.000, 0.500, 0.500)
Ce (0.500, 0.000, 0.500)
Ce (0.500, 0.500, 0.000)
Pu (0.250, 0.250, 0.250)
Pu (0.250, 0.750, 0.750)
Pu (0.750, 0.250, 0.750)
Pu (0.750, 0.750, 0.250)
Al (0.000, 0.000, 0.500)
Al (0.000, 0.500, 0.000)
Al (0.500, 0.000, 0.000)
Al (0.500, 0.500, 0.500)
Tc (0.250, 0.250, 0.750)
Tc (0.250, 0.750, 0.250)
Tc (0.750, 0.250, 0.250)
Tc (0.750, 0.750, 0.750)



No. 9
DFT (PBE) results for a geometry-optimized CeTmPuAl structure.

Computed properties:
Crystal system: cubic
Energy of formation (meV/atom): -17
Calculated volume (A^3/atom): 24.47
Total magnetic moment (Bohr magnetons per cell): 31.72
Symmetry: F-43m
Calculated total energy (hartree per atom): -0.2623

a b c (Å): 7.316 7.316 7.316
angles (deg): 90.00 90.00 90.00
Atoms (fractional coordinates):
Ce (0.000, 0.000, 0.000)
Ce (0.000, 0.500, 0.500)
Ce (0.500, 0.000, 0.500)
Ce (0.500, 0.500, 0.000)
Tm (0.250, 0.250, 0.750)
Tm (0.250, 0.750, 0.250)
Tm (0.750, 0.250, 0.250)
Tm (0.750, 0.750, 0.750)
Pu (0.250, 0.250, 0.250)
Pu (0.250, 0.750, 0.750)
Pu (0.750, 0.250, 0.750)
Pu (0.750, 0.750, 0.250)
Al (0.000, 0.000, 0.500)
Al (0.000, 0.500, 0.000)
Al (0.500, 0.000, 0.000)
Al (0.500, 0.500, 0.500)



No. 10
DFT (PBE) results for a geometry-optimized CeYPuAl structure.

Computed properties:
Crystal system: cubic
Energy of formation (meV/atom): -9
Calculated volume (A^3/atom): 25.15
Total magnetic moment (Bohr magnetons per cell): 32.98
Symmetry: F-43m
Calculated total energy (hartree per atom): -0.2803

a b c (Å): 7.382 7.382 7.382
angles (deg): 90.00 90.00 90.00
Atoms (fractional coordinates):
Ce (0.000, 0.000, 0.000)
Ce (0.000, 0.500, 0.500)
Ce (0.500, 0.000, 0.500)
Ce (0.500, 0.500, 0.000)
Y (0.250, 0.250, 0.750)
Y (0.250, 0.750, 0.250)
Y (0.750, 0.250, 0.250)
Y (0.750, 0.750, 0.750)
Pu (0.250, 0.250, 0.250)
Pu (0.250, 0.750, 0.750)
Pu (0.750, 0.250, 0.750)
Pu (0.750, 0.750, 0.250)
Al (0.000, 0.000, 0.500)
Al (0.000, 0.500, 0.000)
Al (0.500, 0.000, 0.000)
Al (0.500, 0.500, 0.500)



No. 11
DFT (PBE) results for a geometry-optimized CePuZrAl structure.

Computed properties:
Crystal system: cubic
Energy of formation (meV/atom): -38
Calculated volume (A^3/atom): 22.47
Total magnetic moment (Bohr magnetons per cell): 26.79
Symmetry: F-43m
Calculated total energy (hartree per atom): -0.3005

a b c (Å): 7.110 7.110 7.110
angles (deg): 90.00 90.00 90.00
Atoms (fractional coordinates):
Ce (0.000, 0.000, 0.000)
Ce (0.000, 0.500, 0.500)
Ce (0.500, 0.000, 0.500)
Ce (0.500, 0.500, 0.000)
Pu (0.250, 0.250, 0.250)
Pu (0.250, 0.750, 0.750)
Pu (0.750, 0.250, 0.750)
Pu (0.750, 0.750, 0.250)
Zr (0.250, 0.250, 0.750)
Zr (0.250, 0.750, 0.250)
Zr (0.750, 0.250, 0.250)
Zr (0.750, 0.750, 0.750)
Al (0.000, 0.000, 0.500)
Al (0.000, 0.500, 0.000)
Al (0.500, 0.000, 0.000)
Al (0.500, 0.500, 0.500)



No. 12
DFT (PBE) results for a geometry-optimized RbCe2AlS5 structure.

Computed properties:
Crystal system: tetragonal
Uncorrected formation energy (eV/atom): -1.64
Calculated volume (A^3/atom): 23.90
Total magnetic moment (Bohr magnetons per cell): 4.00
Symmetry: I4/mcm
Calculated total energy (hartree per atom): -0.2121

a b c (Å): 8.817 8.817 8.817
angles (deg): 126.32 126.32 79.36
Atoms (fractional coordinates):
Rb (0.250, 0.250, 0.000)
Rb (0.750, 0.750, 0.000)
Ce (0.163, 0.663, 0.826)
Ce (0.337, 0.163, 0.500)
Ce (0.663, 0.837, 0.500)
Ce (0.837, 0.337, 0.174)
Al (0.250, 0.750, 0.500)
Al (0.750, 0.250, 0.500)
S (0.000, 0.000, 0.000)
S (0.008, 0.224, 0.500)
S (0.224, 0.724, 0.215)
S (0.276, 0.492, 0.500)
S (0.492, 0.992, 0.215)
S (0.500, 0.500, 0.000)
S (0.508, 0.008, 0.785)
S (0.724, 0.508, 0.500)
S (0.776, 0.276, 0.785)
S (0.992, 0.776, 0.500)